[1]
A plane-wave DFT calculation with PBE was carried out for a relaxed RbPtNF2 crystal.

Structure (POSCAR):
```
RbPtNF2
1.0
-3.487 -1.036 -3.115
-2.927 -1.076 3.635
-1.142 3.497 0.115
N Rb F Pt
1 1 2 1
Cartesian
-0.571 1.748 0.058
-3.778 0.692 0.317
-1.464 -0.538 1.817
-1.744 -0.518 -1.558
0.000 0.000 0.000
```

Results
DOS(E_F)   0.39 states/eV per atom
Space-group type   No. 123
E   -23.69 eV per cell
Distance to the lowest polymorph of the same formula   0 meV/atom


[2]
A plane-wave DFT calculation with PBE was carried out for a relaxed Sr3Au crystal.

Structure (POSCAR):
```
Sr3Au
1.0
-2.401 -2.238 -2.633
7.731 -7.310 -0.834
-2.976 -3.829 5.970
Sr Au
6 2
Cartesian
2.107 -5.314 2.597
5.655 -7.050 0.837
2.935 -5.030 -1.763
-0.613 -3.294 -0.003
-2.138 -5.256 3.057
4.204 -8.916 3.747
2.424 -2.292 -0.262
2.618 -8.052 1.096
```

Results
DOS(E_F)   0.93 states/eV per atom
Space-group type   No. 59
E   -19.54 eV per cell


[3]
A plane-wave DFT calculation with PBE was carried out for a relaxed Sc2TcSb crystal.

Structure (POSCAR):
```
Sc2TcSb
1.0
4.410 0.000 0.000
0.000 3.567 0.062
0.000 1.724 5.260
Sc Sb Tc
2 1 1
Cartesian
0.000 5.061 5.013
2.205 1.548 1.760
2.205 3.292 4.092
0.000 3.326 2.440
```

Results
DOS(E_F)   0.80 states/eV per atom
Space-group type   No. 6
E   -28.73 eV per cell


[4]
A plane-wave DFT calculation with PBE was carried out for a relaxed BaNa2Sr crystal.

Structure (POSCAR):
```
BaNa2Sr
1.0
1.039 -3.160 5.583
-4.908 -3.060 2.964
-0.169 -6.495 0.138
Na Sr Ba
2 1 1
Cartesian
-3.028 -9.537 6.514
-1.009 -3.179 2.171
0.000 0.000 0.000
-2.019 -6.358 4.343
```

Results
DOS(E_F)   0.98 states/eV per atom
Space-group type   No. 225
E   -6.21 eV per cell
Distance to the lowest polymorph of the same formula   0 meV/atom


[5]
A plane-wave DFT calculation with PBE was carried out for a relaxed LiAg2PdBr crystal.

Structure (POSCAR):
```
LiAg2PdBr
1.0
4.728 0.000 0.000
0.000 4.421 0.000
0.000 0.000 4.728
Li Ag Pd Br
1 2 1 1
Cartesian
0.000 0.000 0.000
2.364 0.000 0.000
0.000 0.000 2.364
0.000 2.210 0.000
2.364 2.210 2.364
```

Results
DOS(E_F)   0.03 states/eV per atom
Space-group type   No. 123
E   -12.77 eV per cell